No. 1
This record from Alexandria describes a relaxed structure of CsMgP2S. The functional is PBEsol.

Results
Energy above the lowest structure with this stoichiometry, meV/atom: 95

```
data_CsMgP2S
_cell_length_a 4.946
_cell_length_b 4.946
_cell_length_c 4.894
_cell_angle_alpha 90.00
_cell_angle_beta 90.00
_cell_angle_gamma 90.00
_symmetry_space_group_name_H-M 'P 4/m m m'
_symmetry_Int_Tables_number 123
_symmetry_space_group_name_Hall '-P 4 2'
loop_
_atom_site_label
_atom_site_type_symbol
_atom_site_fract_x
_atom_site_fract_y
_atom_site_fract_z
Cs1 Cs 0.000 0.000 0.000
Mg1 Mg 0.500 0.500 0.000
P1 P 0.000 0.500 0.500
S1 S 0.500 0.500 0.500
```



No. 2
This record from Alexandria describes a relaxed structure of Cs2MgRh. The functional is PBEsol.

Results
ΔE_f, kJ/mol of formula units: 346

```
data_Cs2MgRh
_cell_length_a 8.287
_cell_length_b 8.287
_cell_length_c 8.287
_cell_angle_alpha 90.00
_cell_angle_beta 90.00
_cell_angle_gamma 90.00
_symmetry_space_group_name_H-M 'F m -3 m'
_symmetry_Int_Tables_number 225
_symmetry_space_group_name_Hall '-F 4 2 3'
loop_
_atom_site_label
_atom_site_type_symbol
_atom_site_fract_x
_atom_site_fract_y
_atom_site_fract_z
Cs1 Cs 0.250 0.250 0.250
Mg1 Mg 0.000 0.000 0.000
Rh1 Rh 0.000 0.000 0.500
```



No. 3
This record from Alexandria describes a relaxed structure of CsMgRu2W. The functional is PBEsol.

Results
ΔE_f, kJ/mol of formula units: 854

```
data_CsMgRu2W
_cell_length_a 4.727
_cell_length_b 4.727
_cell_length_c 5.595
_cell_angle_alpha 90.00
_cell_angle_beta 90.00
_cell_angle_gamma 90.00
_symmetry_space_group_name_H-M 'P 4/m m m'
_symmetry_Int_Tables_number 123
_symmetry_space_group_name_Hall '-P 4 2'
loop_
_atom_site_label
_atom_site_type_symbol
_atom_site_fract_x
_atom_site_fract_y
_atom_site_fract_z
Cs1 Cs 0.000 0.000 0.000
Mg1 Mg 0.500 0.500 0.000
Ru1 Ru 0.000 0.500 0.500
W1 W 0.000 0.000 0.500
```



No. 4
This record from Alexandria describes a relaxed structure of Cs3MgS. The functional is PBEsol.

```
data_Cs3MgS
_cell_length_a 6.672
_cell_length_b 6.672
_cell_length_c 6.672
_cell_angle_alpha 90.00
_cell_angle_beta 90.00
_cell_angle_gamma 90.00
_symmetry_space_group_name_H-M 'P m -3 m'
_symmetry_Int_Tables_number 221
_symmetry_space_group_name_Hall '-P 4 2 3'
loop_
_atom_site_label
_atom_site_type_symbol
_atom_site_fract_x
_atom_site_fract_y
_atom_site_fract_z
Cs1 Cs 0.000 0.000 0.500
Mg1 Mg 0.500 0.500 0.500
S1 S 0.000 0.000 0.000
```



Number 1: size of the total moment 0.000 μB per atom, D(E_F) 3.9 states/eV/f.u., VASP energy -17.002 eV/cell. Number 2: size of the total moment 0.253 μB per atom, D(E_F) 9.2 states/eV/f.u., VASP energy -32.615 eV/cell. Number 3: size of the total moment 0.001 μB per atom, D(E_F) 5.0 states/eV/f.u., VASP energy -27.963 eV/cell. Number 4: size of the total moment 0.022 μB per atom, D(E_F) 3.8 states/eV/f.u., VASP energy -10.724 eV/cell.